4
Lattice="-2.354 2.354 2.354 2.354 -2.354 2.354 2.354 2.354 -2.354" Properties=species:S:1:pos:R:3 comment="Si3C | Alexandria via LeMat-Bulk | GGA-PBE | relaxed" total_magnetization_mub_per_atom=0.0000 formation_energy_uncorrected_mev_per_atom=1003.7 energy_ev_per_cell=-21.48 spacegroup="Im-3m, No. 229" relative_energy_ev_per_atom=0.8271 mass_density_g_cm3=3.06 pbc="T T T"
Si 2.354 0.000 0.000
Si 0.000 2.354 0.000
Si 0.000 0.000 2.354
C 0.000 0.000 0.000

***

5
Lattice="-2.467 2.467 6.475 2.467 -2.467 6.475 2.467 2.467 -6.475" Properties=species:S:1:pos:R:3 comment="BaInHg2Pb | Alexandria via LeMat-Bulk | GGA-PBE | relaxed" total_magnetization_mub_per_atom=0.0000 energy_ev_per_cell=-10.75 spacegroup="I-4m2, No. 119" mass_density_g_cm3=9.07 pbc="T T T"
Ba 0.000 0.000 0.000
In 0.000 2.467 3.237
Hg 0.000 0.000 5.052
Hg 0.000 0.000 7.897
Pb 2.467 0.000 3.237

***

4
Lattice="0.000 3.909 3.909 3.909 0.000 3.909 3.909 3.909 0.000" Properties=species:S:1:pos:R:3 comment="TbCeDySc | Alexandria via LeMat-Bulk | GGA-PBE | relaxed" total_magnetization_mub_per_atom=0.1812 energy_ev_per_cell=-20.90 spacegroup="F-43m, No. 216" mass_density_g_cm3=7.04 pbc="T T T"
Tb 0.000 0.000 0.000
Ce 3.909 3.909 3.909
Dy 1.954 1.954 1.954
Sc 5.863 5.863 5.863

***

14
Lattice="-4.790 4.790 4.773 4.790 -4.790 4.773 4.790 4.790 -4.773" Properties=species:S:1:pos:R:3 comment="Ce4Bi2Te | Alexandria via LeMat-Bulk | GGA-PBE | relaxed" total_magnetization_mub_per_atom=0.8243 formation_energy_uncorrected_mev_per_atom=-821.3 energy_ev_per_cell=-80.78 spacegroup="I-42d, No. 122" mass_density_g_cm3=8.39 pbc="T T T"
Ce 3.066 4.076 -2.814
Ce 5.504 1.724 -0.428
Ce 1.724 0.714 1.959
Ce 1.724 4.076 0.428
Ce 5.504 3.066 2.814
Ce 3.066 0.714 5.200
Ce -0.714 3.066 4.345
Ce -0.714 1.724 7.587
Bi -1.149 2.395 1.193
Bi 2.395 3.641 3.579
Bi 1.149 7.185 1.193
Bi -2.395 5.939 3.579
Te 4.790 0.000 2.386
Te 0.000 0.000 4.773

***

5
Lattice="4.709 0.000 0.000 0.000 4.709 0.000 0.000 0.000 5.289" Properties=species:S:1:pos:R:3 comment="NbTcHgGe2 | Alexandria via LeMat-Bulk | GGA-PBE | relaxed" total_magnetization_mub_per_atom=0.7900 energy_ev_per_cell=-25.33 spacegroup="P4/mmm, No. 123" mass_density_g_cm3=7.60 pbc="T T T"
Nb 0.000 0.000 0.000
Tc 2.354 2.354 2.645
Hg 2.354 2.354 0.000
Ge 0.000 2.354 2.645
Ge 2.354 0.000 2.645

***

12
Lattice="5.179 0.000 0.000 0.000 9.675 0.000 0.000 0.000 6.632" Properties=species:S:1:pos:R:3 comment="Pm3TmAl2 | Alexandria via LeMat-Bulk | GGA-PBE | relaxed" total_magnetization_mub_per_atom=0.0000 energy_ev_per_cell=-55.62 spacegroup="Pmc2_1, No. 26" relative_energy_ev_per_atom=0.0000 mass_density_g_cm3=6.57 pbc="T T T"
Pm 0.000 0.383 0.000
Pm 0.000 3.206 2.214
Pm 0.000 6.469 5.530
Pm 0.000 9.292 3.316
Pm 2.590 1.740 4.759
Pm 2.590 7.935 1.443
Tm 2.590 4.422 0.329
Tm 2.590 5.254 3.645
Al 0.000 3.410 5.452
Al 0.000 6.265 2.136
Al 2.590 1.456 1.542
Al 2.590 8.219 4.858

***

6
Lattice="5.147 0.000 0.000 -2.574 4.458 0.000 0.000 0.000 6.377" Properties=species:S:1:pos:R:3 comment="Pm3Ag2Rh | Alexandria via LeMat-Bulk | GGA-PBE | relaxed" total_magnetization_mub_per_atom=0.0000 energy_ev_per_cell=-29.75 spacegroup="P-3m1, No. 164" relative_energy_ev_per_atom=0.0000 mass_density_g_cm3=8.55 pbc="T T T"
Pm 0.000 0.000 0.000
Pm 0.000 2.972 4.117
Pm 2.574 1.486 2.260
Ag 0.000 2.972 0.927
Ag 2.574 1.486 5.450
Rh 0.000 0.000 3.188

***

8
Lattice="-3.722 3.722 2.441 3.722 -3.722 2.441 3.722 3.722 -2.441" Properties=species:S:1:pos:R:3 comment="LiRe2Ru | Alexandria via LeMat-Bulk | GGA-PBE | relaxed" total_magnetization_mub_per_atom=0.0000 energy_ev_per_cell=-65.06 spacegroup="I-42d, No. 122" relative_energy_ev_per_atom=0.7625 mass_density_g_cm3=11.80 pbc="T T T"
Li 0.000 0.000 0.000
Li 0.000 3.722 1.220
Re 1.861 2.299 -0.610
Re 5.144 1.861 0.610
Re 1.861 1.422 1.830
Re -1.422 1.861 3.051
Ru 3.722 0.000 1.220
Ru 0.000 0.000 2.441

***

5
Lattice="5.096 0.000 0.000 0.000 5.096 0.000 0.000 0.000 5.096" Properties=species:S:1:pos:R:3 comment="CaTa3Cd | Alexandria via LeMat-Bulk | GGA-PBE | relaxed" total_magnetization_mub_per_atom=0.0000 energy_ev_per_cell=-28.82 spacegroup="Pm-3m, No. 221" relative_energy_ev_per_atom=0.0000 mass_density_g_cm3=8.72 pbc="T T T"
Ca 0.000 0.000 0.000
Ta 0.000 2.548 2.548
Ta 2.548 0.000 2.548
Ta 2.548 2.548 0.000
Cd 2.548 2.548 2.548

***

4
Lattice="-2.002 2.002 4.090 2.002 -2.002 4.090 2.002 2.002 -4.090" Properties=species:S:1:pos:R:3 comment="MnCd2Co | Alexandria via LeMat-Bulk | GGA-PBE | relaxed" total_magnetization_mub_per_atom=1.2125 energy_ev_per_cell=-17.02 spacegroup="I4/mmm, No. 139" relative_energy_ev_per_atom=0.1211 mass_density_g_cm3=8.58 pbc="T T T"
Mn 0.000 0.000 0.000
Cd 2.002 0.000 2.045
Cd 0.000 2.002 2.045
Co 0.000 0.000 4.090

***

4
Lattice="4.977 -1.342 0.000 4.977 1.342 0.000 -1.878 0.000 4.330" Properties=species:S:1:pos:R:3 comment="CdCu2Ru | Alexandria via LeMat-Bulk | GGA-PBE | relaxed" total_magnetization_mub_per_atom=0.0000 energy_ev_per_cell=-17.36 spacegroup="Cm, No. 8" mass_density_g_cm3=9.77 pbc="T T T"
Cd 0.000 0.000 0.000
Cu 3.866 0.000 2.134
Cu 7.261 0.000 0.614
Ru 1.122 0.000 2.682

***

8
Lattice="7.119 0.000 0.000 0.000 3.975 0.000 -2.271 0.000 6.759" Properties=species:S:1:pos:R:3 comment="Tm4TlSe2S | Alexandria via LeMat-Bulk | GGA-PBE | relaxed" total_magnetization_mub_per_atom=0.0000 formation_energy_uncorrected_mev_per_atom=-1341.5 energy_ev_per_cell=-42.08 spacegroup="P2/m, No. 10" mass_density_g_cm3=9.29 pbc="T T T"
Tm 1.137 0.000 1.613
Tm -0.001 1.988 5.034
Tm 4.849 1.988 1.725
Tm 3.711 0.000 5.146
Tl 3.560 0.000 0.000
Se -1.135 0.000 3.379
Se 2.424 1.988 3.379
S 0.000 1.988 0.000

***

4
Lattice="2.501 1.444 12.462 -2.501 1.444 12.462 0.000 -2.888 12.462" Properties=species:S:1:pos:R:3 comment="CsBa2Li | Alexandria via LeMat-Bulk | GGA-PBE | relaxed" total_magnetization_mub_per_atom=0.0016 energy_ev_per_cell=-5.91 spacegroup="R3m, No. 160" mass_density_g_cm3=2.55 pbc="T T T"
Cs 0.000 0.000 0.000
Ba 0.000 0.000 20.762
Ba 0.000 0.000 29.104
Li 0.000 0.000 6.239

***

5
Lattice="5.303 0.000 0.000 0.000 5.303 0.000 0.000 0.000 5.529" Properties=species:S:1:pos:R:3 comment="CsYS2Cl | Alexandria via LeMat-Bulk | GGA-PBE | relaxed" total_magnetization_mub_per_atom=0.1677 formation_energy_uncorrected_mev_per_atom=-1564.0 energy_ev_per_cell=-25.24 spacegroup="P4/mmm, No. 123" relative_energy_ev_per_atom=0.0000 mass_density_g_cm3=3.43 pbc="T T T"
Cs 0.000 0.000 0.000
Y 2.652 2.652 2.764
S 0.000 2.652 2.764
S 2.652 0.000 2.764
Cl 2.652 2.652 0.000

***

4
Lattice="4.606 -1.508 0.000 4.606 1.508 0.000 -1.115 0.000 4.550" Properties=species:S:1:pos:R:3 comment="Ta2CuRu | Alexandria via LeMat-Bulk | GGA-PBE | relaxed" total_magnetization_mub_per_atom=0.0000 energy_ev_per_cell=-37.20 spacegroup="Cm, No. 8" mass_density_g_cm3=13.83 pbc="T T T"
Ta 0.000 0.000 0.000
Ta 1.419 0.000 3.156
Cu 3.978 0.000 2.220
Ru 6.673 0.000 1.056

***

5
Lattice="3.558 0.000 0.000 0.000 3.558 0.000 0.000 0.000 3.610" Properties=species:S:1:pos:R:3 comment="ReN2OF | Alexandria via LeMat-Bulk | GGA-PBE | relaxed" total_magnetization_mub_per_atom=0.0000 formation_energy_uncorrected_mev_per_atom=2308.2 energy_ev_per_cell=-24.39 spacegroup="P4/mmm, No. 123" mass_density_g_cm3=9.06 pbc="T T T"
Re 0.000 0.000 0.000
N 0.000 1.779 1.805
N 1.779 0.000 1.805
O 1.779 1.779 0.000
F 1.779 1.779 1.805

***

5
Lattice="6.309 0.000 0.000 0.000 6.309 0.000 0.000 0.000 7.076" Properties=species:S:1:pos:R:3 comment="KRbBa2Pd | Alexandria via LeMat-Bulk | GGA-PBE | relaxed" total_magnetization_mub_per_atom=0.0000 energy_ev_per_cell=-11.64 spacegroup="P4/mmm, No. 123" relative_energy_ev_per_atom=0.0000 mass_density_g_cm3=2.98 pbc="T T T"
K 0.000 0.000 0.000
Rb 3.154 3.154 0.000
Ba 0.000 3.154 3.538
Ba 3.154 0.000 3.538
Pd 0.000 0.000 3.538

***

5
Lattice="4.154 0.000 0.000 0.000 4.154 0.000 0.000 0.000 5.847" Properties=species:S:1:pos:R:3 comment="ZnGeIN2 | Alexandria via LeMat-Bulk | GGA-PBE | relaxed" total_magnetization_mub_per_atom=0.5648 formation_energy_uncorrected_mev_per_atom=1538.9 energy_ev_per_cell=-16.40 spacegroup="P4/mmm, No. 123" relative_energy_ev_per_atom=0.4371 mass_density_g_cm3=4.82 pbc="T T T"
Zn 0.000 0.000 0.000
Ge 2.077 2.077 2.923
I 0.000 0.000 2.923
N 0.000 2.077 0.000
N 2.077 0.000 0.000

***

6
Lattice="0.000 3.279 3.279 3.279 0.000 3.279 3.279 3.279 0.000" Properties=species:S:1:pos:R:3 comment="Li4SiOs | Alexandria via LeMat-Bulk | GGA-PBE | relaxed" total_magnetization_mub_per_atom=0.0000 formation_energy_uncorrected_mev_per_atom=214.3 energy_ev_per_cell=-23.02 spacegroup="F-43m, No. 216" mass_density_g_cm3=5.79 pbc="T T T"
Li 0.811 0.811 0.811
Li 2.469 2.469 0.811
Li 2.469 0.811 2.469
Li 0.811 2.469 2.469
Si 3.279 3.279 3.279
Os 4.919 4.919 4.919

***

10
Lattice="7.715 0.000 0.000 0.000 7.715 0.000 0.000 0.000 3.236" Properties=species:S:1:pos:R:3 comment="LaZn2Si2 | Alexandria via LeMat-Bulk | GGA-PBE | relaxed" total_magnetization_mub_per_atom=0.0000 formation_energy_uncorrected_mev_per_atom=-26.0 energy_ev_per_cell=-36.90 spacegroup="P4/mbm, No. 127" mass_density_g_cm3=5.62 pbc="T T T"
La 0.000 0.000 0.000
La 3.858 3.858 0.000
Zn 1.191 2.667 1.618
Zn 2.667 6.525 1.618
Zn 5.048 1.191 1.618
Zn 6.525 5.048 1.618
Si 0.964 4.822 0.000
Si 2.894 0.964 0.000
Si 4.822 6.752 0.000
Si 6.752 2.894 0.000